Record 1
The following is a PBE-GGA calculation of a relaxed structure of TbNpB4, from the Alexandria database.

Values from the calculation:
- DOS(E_F): 21.61 states/eV/cell
- DFT total energy: -0.2795 hartree per atom
- M_tot: 6.0 Bohr magnetons per cell

a = 6.120 Å, b = 11.943 Å, c = 3.983 Å
α = 90.00°, β = 90.00°, γ = 90.00°
Space group Pbam (No. 55)
Asymmetric unit:
Tb1 0.119 0.159 0.000
Np1 0.121 0.425 0.000
B1 0.018 0.695 0.500
B2 0.128 0.554 0.500
B3 0.129 0.969 0.500
B4 0.204 0.813 0.500

=====

Record 2
The following is a PBE-GGA calculation of a relaxed structure of TbNpB4, from the Alexandria database.

Values from the calculation:
- DOS(E_F): 54.09 states/eV/cell
- DFT total energy: -0.2551 hartree per atom
- M_tot: 12.5 Bohr magnetons per cell

a = 6.708 Å, b = 6.708 Å, c = 6.708 Å
α = 90.00°, β = 90.00°, γ = 90.00°
Space group F-43m (No. 216)
Asymmetric unit:
Tb1 0.000 0.000 0.000
Np1 0.250 0.250 0.750
B1 0.093 0.093 0.407

=====

Record 3
The following is a PBE-GGA calculation of a relaxed structure of NpTc2B4, from the Alexandria database.

Values from the calculation:
- DOS(E_F): 32.07 states/eV/cell
- DFT total energy: -0.3256 hartree per atom
- M_tot: 12.3 Bohr magnetons per cell

a = 12.706 Å, b = 4.539 Å, c = 5.612 Å
α = 90.00°, β = 101.12°, γ = 90.00°
Space group C2/c (No. 15)
Asymmetric unit:
Np1 0.000 0.231 0.250
Tc1 0.216 0.002 0.609
B1 0.114 0.289 0.825
B2 0.148 0.481 0.579

=====

Record 4
The following is a PBE-GGA calculation of a relaxed structure of Np2TcB10, from the Alexandria database.

Values from the calculation:
- DOS(E_F): 33.79 states/eV/cell
- DFT total energy: -0.3015 hartree per atom
- M_tot: 13.2 Bohr magnetons per cell

a = 5.703 Å, b = 11.349 Å, c = 4.139 Å
α = 90.00°, β = 90.00°, γ = 90.00°
Space group Pbam (No. 55)
Asymmetric unit:
Np1 0.223 0.132 0.000
Tc1 0.000 0.500 0.500
B1 0.067 0.305 0.500
B2 0.117 0.958 0.500
B3 0.125 0.803 0.500
B4 0.229 0.380 0.198

=====

Record 5
The following is a PBE-GGA calculation of a relaxed structure of NpTc2B, from the Alexandria database.

Values from the calculation:
- DOS(E_F): 14.30 states/eV/cell
- DFT total energy: -0.3617 hartree per atom
- M_tot: 9.8 Bohr magnetons per cell

a = 2.9886 Å, b = 2.9886 Å, c = 23.1462 Å
α = 90.00°, β = 90.00°, γ = 120.00°
Space group R-3m (No. 166, hexagonal axes)
Asymmetric unit:
Np1 0.0000 0.0000 0.0000
Tc1 0.0000 0.0000 0.1104
B1 0.0000 0.0000 0.5000

=====

Record 6
The following is a PBE-GGA calculation of a relaxed structure of Np2TcB6, from the Alexandria database.

Values from the calculation:
- DOS(E_F): 13.46 states/eV/cell
- DFT total energy: -0.3013 hartree per atom
- M_tot: 0.0 Bohr magnetons per cell

a = 3.264 Å, b = 6.636 Å, c = 9.437 Å
α = 90.00°, β = 90.00°, γ = 90.00°
Space group Immm (No. 71)
Asymmetric unit:
Np1 0.000 0.183 0.000
Tc1 0.000 0.000 0.500
B1 0.000 0.252 0.290
B2 0.000 0.500 0.350

=====

Record 7
The following is a PBE-GGA calculation of a relaxed structure of NpTc3B, from the Alexandria database.

Values from the calculation:
- DOS(E_F): 5.08 states/eV/cell
- DFT total energy: -0.3749 hartree per atom
- M_tot: 0.7 Bohr magnetons per cell

a = 4.202 Å, b = 4.202 Å, c = 4.202 Å
α = 90.00°, β = 90.00°, γ = 90.00°
Space group Pm-3m (No. 221)
Asymmetric unit:
Np1 0.000 0.000 0.000
Tc1 0.000 0.500 0.500
B1 0.500 0.500 0.500

=====

Record 8
The following is a PBE-GGA calculation of a relaxed structure of NpTc3B3, from the Alexandria database.

Values from the calculation:
- DOS(E_F): 12.28 states/eV/cell
- DFT total energy: -0.3344 hartree per atom
- M_tot: 3.7 Bohr magnetons per cell

a = 6.9449 Å, b = 6.9449 Å, c = 4.2292 Å
α = 90.00°, β = 90.00°, γ = 120.00°
Space group P6_3/m (No. 176)
Asymmetric unit:
Np1 0.3333 0.6667 0.2500
Tc1 0.0114 0.7446 0.2500
B1 0.0580 0.6539 0.7500